(1)
DFT (GGA-PBE) results for a geometry-optimized NaAgBiSb structure.

The structure in POSCAR format:
```
NaAgBiSb
1.0
5.233 0.000 0.000
2.616 4.531 0.000
2.616 1.510 4.272
Sb Bi Ag Na
1 1 1 1
Cartesian
2.616 1.510 1.068
7.849 4.531 3.204
0.000 0.000 0.000
5.233 3.021 2.136
```

Properties
The space group is No. 216. The value obtained for the formation energy without anion corrections is -0.1 eV/f.u.

(2)
DFT (GGA-PBE) results for a geometry-optimized BaP3F structure.

The structure in POSCAR format:
```
BaP3F
1.0
-5.040 0.608 -4.031
3.133 -3.522 -4.449
-2.608 -5.407 2.445
P Ba F
3 1 1
Cartesian
1.566 -1.761 -2.224
-1.304 -2.704 1.222
-2.520 0.304 -2.015
0.000 0.000 0.000
-2.257 -4.161 -3.017
```

Properties
As for the relative energy among the computed polymorphs: 1214 meV per atom. The space group is No. 221. The value obtained for the formation energy without anion corrections is 6.1 eV/f.u.

(3)
DFT (GGA-PBE) results for a geometry-optimized NaMg3Co structure.

The structure in POSCAR format:
```
NaMg3Co
1.0
-1.924 -3.722 2.676
-1.659 -2.139 -4.169
4.273 -2.507 -0.414
Na Mg Co
1 3 1
Cartesian
0.000 0.000 0.000
-0.830 -1.070 -2.084
2.136 -1.253 -0.207
-0.962 -1.861 1.338
0.345 -4.184 -0.954
```

Properties
As for the relative energy among the computed polymorphs: 1126 meV per atom. The formation energy is 1.328 eV per atom. The space group is No. 221.

(4)
DFT (GGA-PBE) results for a geometry-optimized MgNiW structure.

The structure in POSCAR format:
```
MgNiW
1.0
4.382 0.003 -0.006
-0.001 2.724 -0.007
4.389 2.073 7.512
Ni Mg W
2 2 2
Cartesian
2.466 0.465 1.003
4.656 3.298 2.378
0.274 1.921 0.166
6.851 3.634 6.008
2.466 1.754 3.248
4.659 2.419 4.691
```

Properties
As for the relative energy among the computed polymorphs: 80 meV per atom. The formation energy is 0.166 eV per atom. The space group is No. 6.

(5)
DFT (GGA-PBE) results for a geometry-optimized NaLuZnIn structure.

The structure in POSCAR format:
```
NaLuZnIn
1.0
-1.384 4.389 -2.176
-4.470 0.348 -2.409
-3.770 2.763 2.016
Na Zn Lu In
1 1 1 1
Cartesian
-2.406 1.875 -0.642
0.000 0.000 0.000
-7.219 5.624 -1.926
-4.812 3.749 -1.284
```

Properties
The formation energy is -0.133 eV per atom. The space group is No. 216.